Record 1
Below is a relaxed Na2CaSiS4 crystal, with properties calculated at the GGA-PBE level.

The structure in extended XYZ format:
```
16
Lattice="-6.208 4.644 0.510 -4.550 -6.175 -1.235 5.509 -0.081 5.739" Properties=species:S:1:pos:R:3 pbc="T T T"
Na -3.104 2.322 0.255
Na -0.349 2.281 3.124
Na 2.755 -0.041 2.869
Na -5.379 -0.766 -0.363
Ca -2.275 -3.088 -0.618
Ca -5.728 1.515 2.762
Si -2.624 -0.807 2.507
Si -0.699 4.562 6.249
S -4.899 -3.955 -0.869
S -2.957 1.419 2.858
S -2.292 -3.032 2.156
S -0.350 2.342 5.882
S -2.783 -1.232 4.965
S -5.089 -1.197 2.554
S -0.160 -0.416 2.460
S -2.466 -0.381 0.049
```

***

Record 2
Below is a relaxed PrErCoPd crystal, with properties calculated at the GGA-PBE level.

The structure in extended XYZ format:
```
4
Lattice="4.937 0.000 0.000 2.469 4.276 0.000 2.469 1.425 4.031" Properties=species:S:1:pos:R:3 pbc="T T T"
Pr 7.406 4.276 3.024
Co 4.937 2.851 2.016
Pd 0.000 0.000 0.000
Er 2.469 1.425 1.008
```

***

Record 3
Below is a relaxed Tb3SmRh3 crystal, with properties calculated at the GGA-PBE level.

The structure in extended XYZ format:
```
14
Lattice="6.817 1.198 0.344 -1.964 6.637 0.344 -0.327 -0.528 6.937" Properties=species:S:1:pos:R:3 pbc="T T T"
Tb 3.160 5.102 3.136
Tb -0.519 5.376 3.813
Tb 5.044 1.930 3.813
Tb 0.180 5.308 0.344
Tb 4.672 2.526 0.344
Tb 1.366 2.205 4.490
Sm 3.316 5.353 6.644
Sm 1.210 1.953 0.981
Rh 4.517 7.293 2.053
Rh -1.211 2.911 5.244
Rh 3.146 0.213 5.244
Rh 5.736 4.395 2.382
Rh 1.380 7.093 2.382
Rh 0.008 0.013 5.573
```

***

Record 4
Below is a relaxed TlAgMo2 crystal, with properties calculated at the GGA-PBE level.

The structure in extended XYZ format:
```
4
Lattice="-3.738 2.802 1.800 -3.179 0.864 3.770 3.195 3.470 2.505" Properties=species:S:1:pos:R:3 pbc="T T T"
Ag -0.922 1.810 2.042
Mo -3.766 7.039 7.992
Mo -2.710 5.470 6.149
Tl -1.908 3.520 4.003
```

offset from the most stable computed form: 0.1942 eV/atom

***

Record 5
Below is a relaxed Na4Li5B3O9 crystal, with properties calculated at the GGA-PBE level.

The structure in extended XYZ format:
```
42
Lattice="-2.269 -1.655 -6.740 -3.528 -6.299 -1.098 -9.558 2.440 -0.124" Properties=species:S:1:pos:R:3 pbc="T T T"
Na -8.575 -4.979 -3.495
Na -9.061 -0.050 -2.601
Na -10.935 -3.730 -6.047
Na -2.651 -4.151 -1.493
Na -4.421 -1.783 -1.915
Na -6.295 -5.464 -5.361
Na -12.704 -1.362 -6.469
Na -6.781 -0.535 -4.467
Li -8.449 1.890 -0.650
Li -9.783 -1.099 -5.285
Li -13.028 -2.821 -4.141
Li -11.602 -5.877 -7.745
Li -7.387 -2.507 -2.625
Li -5.572 -4.415 -2.677
Li -3.753 0.364 -0.217
Li -7.968 -3.006 -5.338
Li -2.328 -2.692 -3.821
Li -6.906 -7.403 -7.312
B -10.198 -2.627 -3.428
B -5.158 -2.886 -4.534
B -6.784 -0.265 -0.915
B -1.794 -0.707 -1.799
B -13.561 -4.806 -6.163
B -8.571 -5.248 -7.047
O -7.400 -3.885 -1.143
O -4.134 -6.379 -2.467
O -11.232 -2.128 -4.211
O -2.935 0.084 -1.991
O -7.955 -1.628 -6.819
O -8.076 -0.035 -0.425
O -8.784 -4.779 -5.761
O -1.826 -2.080 -1.988
O -10.432 -3.492 -2.377
O -8.914 -2.209 -3.760
O -11.222 0.866 -5.495
O -6.441 -3.305 -4.202
O -4.123 -3.385 -3.751
O -4.923 -2.021 -5.585
O -12.421 -5.597 -5.971
O -7.279 -5.478 -7.537
O -13.530 -3.434 -5.975
O -6.571 -0.734 -2.201
```

***

Record 6
Below is a relaxed CsCaNbH2 crystal, with properties calculated at the GGA-PBE level.

The structure in extended XYZ format:
```
5
Lattice="4.997 0.000 0.000 0.000 6.370 0.000 0.000 0.000 4.997" Properties=species:S:1:pos:R:3 pbc="T T T"
Cs 0.000 0.000 0.000
H 0.000 0.000 2.499
H 2.499 0.000 0.000
Nb 0.000 3.185 0.000
Ca 2.499 3.185 2.499
```

***

Record 7
Below is a relaxed Cs3Ce3PmTe8 crystal, with properties calculated at the GGA-PBE level.

The structure in extended XYZ format:
```
15
Lattice="9.231 0.000 0.000 -4.615 7.993 -0.036 0.000 -5.294 9.073" Properties=species:S:1:pos:R:3 pbc="T T T"
Cs 0.000 0.000 0.000
Cs -2.308 3.997 -0.018
Cs 2.308 3.997 -0.018
Ce 4.615 -2.647 4.537
Ce 2.308 1.349 4.519
Ce -2.308 1.349 4.519
Pm 0.000 -2.647 4.537
Te 0.000 2.674 2.769
Te 4.615 0.025 6.268
Te 4.615 2.654 2.787
Te 0.000 0.045 6.250
Te 6.906 -1.313 2.806
Te -2.291 4.012 6.232
Te 2.325 -1.313 2.806
Te 2.290 4.012 6.232
```

***

Record 8
Below is a relaxed Y2Tm3Te2 crystal, with properties calculated at the GGA-PBE level.

The structure in extended XYZ format:
```
7
Lattice="-3.791 -0.453 1.055 3.429 -5.165 2.667 0.555 6.870 4.941" Properties=species:S:1:pos:R:3 pbc="T T T"
Y -0.667 -2.758 3.855
Y 0.859 4.010 4.808
Tm -1.895 -0.226 0.528
Tm -1.291 1.558 3.466
Tm 1.483 -0.307 5.197
Te -0.473 1.763 6.493
Te 0.665 -0.512 2.170
```

***

Electronic total energy (computed, eV per cell): -70.11 -23.17 -90.54 -24.34 -248.72 -12.20 -70.54 -37.44